## A
{
  "formula": "ZnRe2Pb",
  "functional": "PBE",
  "state": "relaxed",
  "crystal_system": "orthorhombic",
  "sg": "Pmmm (47)",
  "magmom_total_mub_per_atom": 0.00,
  "cell": [[2.931, 0.000, 0.000], [0.000, 4.022, 0.000], [0.000, 0.000, 6.274]],
  "species": ["Zn", "Re", "Re", "Pb"],
  "frac_coords": [[0.000, 0.000, 0.000], [0.500, 0.500, 0.185], [0.500, 0.500, 0.815], [0.000, 0.000, 0.500]]
}

## B
{
  "formula": "ZnRe2Pb",
  "functional": "PBE",
  "state": "relaxed",
  "crystal_system": "trigonal",
  "sg": "R-3m (166)",
  "magmom_total_mub_per_atom": 0.00,
  "cell": [[1.498, 0.865, 8.779], [-1.498, 0.865, 8.779], [0.000, -1.730, 8.779]],
  "species": ["Zn", "Re", "Re", "Pb"],
  "frac_coords": [[0.000, 0.000, 0.000], [0.255, 0.255, 0.255], [0.745, 0.745, 0.745], [0.500, 0.500, 0.500]]
}

So which one wins? Going from most stable to least: A, B.

## A
{
  "formula": "ZrRePb2",
  "functional": "PBE",
  "state": "relaxed",
  "crystal_system": "tetragonal",
  "sg": "P4/mmm (123)",
  "magmom_total_mub_per_atom": 0.00,
  "cell": [[3.425, 0.000, 0.000], [0.000, 3.425, 0.000], [0.000, 0.000, 7.276]],
  "species": ["Zr", "Re", "Pb", "Pb"],
  "frac_coords": [[0.000, 0.000, 0.000], [0.000, 0.000, 0.500], [0.500, 0.500, 0.275], [0.500, 0.500, 0.725]]
}

## B
{
  "formula": "ZrRePb2",
  "functional": "PBE",
  "state": "relaxed",
  "crystal_system": "monoclinic",
  "sg": "C2/m (12)",
  "magmom_total_mub_per_atom": 0.27,
  "cell": [[3.082, -4.825, 0.000], [3.082, 4.825, 0.000], [-1.201, 0.000, 2.984]],
  "species": ["Zr", "Re", "Pb", "Pb"],
  "frac_coords": [[0.000, 0.000, 0.000], [0.500, 0.500, 0.000], [0.000, 0.500, 0.500], [0.500, 0.000, 0.500]]
}

## C
{
  "formula": "ZrRePb2",
  "functional": "PBE",
  "state": "relaxed",
  "crystal_system": "orthorhombic",
  "sg": "Cmmm (65)",
  "magmom_total_mub_per_atom": 0.00,
  "cell": [[1.688, -2.774, 0.000], [1.688, 2.774, 0.000], [0.000, 0.000, 9.533]],
  "species": ["Zr", "Re", "Pb", "Pb"],
  "frac_coords": [[0.000, 0.000, 0.000], [0.000, 0.000, 0.500], [0.500, 0.500, 0.267], [0.500, 0.500, 0.733]]
}

## D
{
  "formula": "ZrRePb2",
  "functional": "PBE",
  "state": "relaxed",
  "crystal_system": "tetragonal",
  "sg": "I-42d (122)",
  "magmom_total_mub_per_atom": 0.00,
  "cell": [[-2.117, 2.117, 10.571], [2.117, -2.117, 10.571], [2.117, 2.117, -10.571]],
  "species": ["Zr", "Zr", "Re", "Re", "Pb", "Pb", "Pb", "Pb"],
  "frac_coords": [[0.000, 0.000, 0.000], [0.750, 0.250, 0.500], [0.250, 0.750, 0.500], [0.500, 0.500, 0.000], [0.129, 0.625, 0.004], [0.375, 0.379, 0.504], [0.621, 0.125, 0.996], [0.875, 0.871, 0.496]]
}

So which one wins? Going from most stable to least: A, B, C, D.

## A
{
  "formula": "ZrRePb2",
  "functional": "PBE",
  "state": "relaxed",
  "crystal_system": "monoclinic",
  "sg": "Pm (6)",
  "magmom_total_mub_per_atom": 0.00,
  "cell": [[3.398, 0.000, 0.000], [0.000, 3.444, 0.000], [-0.768, 0.000, 8.464]],
  "species": ["Zr", "Re", "Pb", "Pb"],
  "frac_coords": [[0.000, 0.000, 0.000], [0.464, 0.500, 0.841], [0.554, 0.500, 0.253], [0.927, 0.000, 0.618]]
}

## B
{
  "formula": "ZrRePb2",
  "functional": "PBE",
  "state": "relaxed",
  "crystal_system": "cubic",
  "sg": "Fm-3m (225)",
  "magmom_total_mub_per_atom": 0.00,
  "cell": [[0.000, 3.482, 3.482], [3.482, 0.000, 3.482], [3.482, 3.482, 0.000]],
  "species": ["Zr", "Re", "Pb", "Pb"],
  "frac_coords": [[0.000, 0.000, 0.000], [0.500, 0.500, 0.500], [0.250, 0.250, 0.250], [0.750, 0.750, 0.750]]
}

So which one wins? Going from most stable to least: A, B.